# 1
VASP calculation (PBE) on a geometry-optimized KBiO structure.

a = 6.209 Å, b = 6.629 Å, c = 5.128 Å
α = 67.23°, β = 114.43°, γ = 79.03°
Element x y z (fractional)
1 Bi 0.148 0.084 0.282
2 Bi 0.852 0.916 0.718
3 O 0.494 0.238 0.378
4 O 0.506 0.762 0.622
5 K 0.620 0.618 0.251
6 K 0.380 0.382 0.749

- raw total energy (eV per atom) = -4.18

# 2
VASP calculation (PBE) on a geometry-optimized Nb2NiGe structure.

a = 6.970 Å, b = 6.970 Å, c = 5.641 Å
α = 51.84°, β = 51.84°, γ = 90.00°
Element x y z (fractional)
1 Ni 0.500 0.500 0.000
2 Ni 0.250 0.750 0.500
3 Nb 0.611 0.125 0.250
4 Nb 0.139 0.625 0.250
5 Nb 0.375 0.389 0.750
6 Nb 0.875 0.861 0.750
7 Ge 0.000 0.000 0.000
8 Ge 0.750 0.250 0.500

- calculated formation energy (meV/atom) = 61

For each record above, in turn, the calculated total moment values are 0.0000; 0.0000 μB/atom.